Crystalline K2Na2Cr at its relaxed geometry, computed with PBE.

Computed properties:
As for the total magnetization: 5.2 μB/f.u. Its energy above the most stable polymorph in this dataset is 0 meV/atom. As for the crystal system: tetragonal. The electronic total energy comes out at -2.31 eV/atom. The calculation puts the formation enthalpy at 0 K at 0.577 eV/atom. The value obtained for the volume is 466 Å³/cell.

a b c (Å): 4.549 4.549 22.498
angles (deg): 90.00 90.00 90.00
Space group I4/mmm (No. 139)
Inequivalent atoms, fractional coordinates:
K 0.000 0.000 0.091 x4
Na 0.000 0.500 0.250 x4
Cr 0.000 0.000 0.500 x2